(1)
First-principles (PBE) data for a relaxed structure of LiPaAg, as listed in Alexandria via LeMat-Bulk.

The structure in POSCAR format:
```
LiPaAg
1.0
3.011 0.000 0.000
0.000 3.672 0.000
-1.500 0.000 10.738
Li Pa Ag
2 2 2
Cartesian
-0.001 0.918 4.560
1.512 2.754 6.178
0.000 0.918 1.016
1.511 2.754 9.722
0.007 0.918 7.526
1.504 2.754 3.212
```

Output
The space group is P2_1/m (11). As for the crystal system: monoclinic. The energy of formation from the pure elements is 92 meV per atom. For the calculated volume, the calculation gives 19.79 Å³/atom. Its polymorph energy (0 for the lowest one) is 0 meV/atom. The uncorrected energy is -4.6614 eV/atom.

---

(2)
First-principles (PBE) data for a relaxed structure of LiPaAg2, as listed in Alexandria via LeMat-Bulk.

The structure in POSCAR format:
```
LiPaAg2
1.0
2.959 0.000 0.000
-1.479 2.562 0.000
0.000 0.000 32.032
Li Pa Ag
3 3 6
Cartesian
0.000 0.000 0.000
0.000 1.708 21.355
1.479 0.854 10.677
0.000 0.000 16.016
0.000 1.708 5.339
1.479 0.854 26.693
0.000 0.000 12.888
0.000 0.000 19.144
0.000 1.708 2.211
0.000 1.708 8.466
1.479 0.854 23.565
1.479 0.854 29.821
```

Output
The space group is R-3m (166). As for the crystal system: trigonal. The energy of formation from the pure elements is 187 meV per atom. For the calculated volume, the calculation gives 20.24 Å³/atom. Its polymorph energy (0 for the lowest one) is 157 meV/atom. The uncorrected energy is -4.0909 eV/atom.

---

(3)
First-principles (PBE) data for a relaxed structure of LiPaAg2, as listed in Alexandria via LeMat-Bulk.

The structure in POSCAR format:
```
LiPaAg2
1.0
3.124 0.000 0.000
0.000 3.124 0.000
0.000 0.000 7.784
Li Pa Ag
1 1 2
Cartesian
0.000 0.000 0.000
0.000 0.000 3.892
1.562 1.562 1.569
1.562 1.562 6.215
```

Output
The space group is P4/mmm (123). As for the crystal system: tetragonal. The energy of formation from the pure elements is 30 meV per atom. For the calculated volume, the calculation gives 18.99 Å³/atom. Its polymorph energy (0 for the lowest one) is 0 meV/atom. The uncorrected energy is -4.2484 eV/atom.

---

(4)
First-principles (PBE) data for a relaxed structure of LiPaAgPb, as listed in Alexandria via LeMat-Bulk.

The structure in POSCAR format:
```
LiPaAgPb
1.0
7.227 0.000 0.000
0.000 7.227 0.000
0.000 0.000 7.227
Li Pa Ag Pb
4 4 4 4
Cartesian
0.000 0.000 0.000
0.000 3.613 3.613
3.613 0.000 3.613
3.613 3.613 0.000
0.000 0.000 3.613
0.000 3.613 0.000
3.613 0.000 0.000
3.613 3.613 3.613
1.807 1.807 1.807
1.807 5.420 5.420
5.420 1.807 5.420
5.420 5.420 1.807
1.807 1.807 5.420
1.807 5.420 1.807
5.420 1.807 1.807
5.420 5.420 5.420
```

Output
The space group is F-43m (216). As for the crystal system: cubic. The energy of formation from the pure elements is 85 meV per atom. For the calculated volume, the calculation gives 23.59 Å³/atom. The uncorrected energy is -4.4072 eV/atom.

---

(5)
First-principles (PBE) data for a relaxed structure of LiPaAgPd, as listed in Alexandria via LeMat-Bulk.

The structure in POSCAR format:
```
LiPaAgPd
1.0
6.834 0.000 0.000
0.000 6.834 0.000
0.000 0.000 6.834
Li Pa Ag Pd
4 4 4 4
Cartesian
0.000 0.000 0.000
0.000 3.417 3.417
3.417 0.000 3.417
3.417 3.417 0.000
0.000 0.000 3.417
0.000 3.417 0.000
3.417 0.000 0.000
3.417 3.417 3.417
1.708 1.708 5.125
1.708 5.125 1.708
5.125 1.708 1.708
5.125 5.125 5.125
1.708 1.708 1.708
1.708 5.125 5.125
5.125 1.708 5.125
5.125 5.125 1.708
```

Output
The space group is F-43m (216). As for the crystal system: cubic. The energy of formation from the pure elements is -59 meV per atom. For the calculated volume, the calculation gives 19.95 Å³/atom. The uncorrected energy is -4.9229 eV/atom.

---

(6)
First-principles (PBE) data for a relaxed structure of LiPaAgS4, as listed in Alexandria via LeMat-Bulk.

The structure in POSCAR format:
```
LiPaAgS4
1.0
-4.054 4.149 4.721
4.054 -4.149 4.721
4.054 4.149 -4.721
Li Pa Ag S
2 2 2 8
Cartesian
0.000 2.075 1.185
4.054 2.075 3.536
4.054 0.000 0.000
0.000 0.000 4.721
2.027 2.075 -2.360
2.027 -2.075 2.360
4.054 3.963 -2.545
4.054 -0.186 2.545
2.308 2.075 0.171
5.800 2.075 0.171
-1.746 2.075 4.549
1.746 2.075 4.549
0.000 4.335 2.175
0.000 0.186 7.266
```

Output
The space group is Imma (74). As for the crystal system: orthorhombic. For the calculated volume, the calculation gives 22.69 Å³/atom. The uncorrected energy is -5.4024 eV/atom. The uncorrected formation energy comes out at -1.01 eV/atom.

---

(7)
First-principles (PBE) data for a relaxed structure of Li3PaAg2S6, as listed in Alexandria via LeMat-Bulk.

The structure in POSCAR format:
```
Li3PaAg2S6
1.0
3.188 -5.630 0.000
3.188 5.630 0.000
-2.030 0.000 6.269
Li Pa Ag S
3 1 2 6
Cartesian
0.000 0.000 0.000
3.188 1.973 0.000
3.188 -1.973 0.000
2.173 0.000 3.134
2.173 3.788 3.134
2.173 -3.788 3.134
1.059 1.833 1.553
0.126 0.000 4.775
1.059 -1.833 1.553
3.287 1.833 4.716
4.220 0.000 1.494
3.287 -1.833 4.716
```

Output
The space group is C2/m (12). As for the crystal system: monoclinic. For the calculated volume, the calculation gives 18.75 Å³/atom. The uncorrected energy is -4.7347 eV/atom. The uncorrected formation energy comes out at -0.93 eV/atom.

---

(8)
First-principles (PBE) data for a relaxed structure of Li3Pa2AgS6, as listed in Alexandria via LeMat-Bulk.

The structure in POSCAR format:
```
Li3Pa2AgS6
1.0
8.305 -1.952 0.000
8.305 1.952 0.000
-1.956 0.000 7.450
Li Pa Ag S
3 2 1 6
Cartesian
0.000 0.000 0.000
4.292 0.000 5.031
10.363 0.000 2.419
5.346 0.000 1.416
9.309 0.000 6.034
-0.978 0.000 3.725
2.697 0.000 0.539
1.733 0.000 4.298
6.753 0.000 5.665
7.901 0.000 1.785
12.921 0.000 3.152
11.958 0.000 6.911
```

Output
The space group is C2/m (12). As for the crystal system: monoclinic. For the calculated volume, the calculation gives 20.13 Å³/atom. The uncorrected energy is -5.6664 eV/atom. The uncorrected formation energy comes out at -1.30 eV/atom.

---

(9)
First-principles (PBE) data for a relaxed structure of LiPa2AgS6, as listed in Alexandria via LeMat-Bulk.

The structure in POSCAR format:
```
LiPa2AgS6
1.0
3.306 1.909 6.207
-3.306 1.909 6.207
0.000 -3.817 6.207
Li Pa Ag S
1 2 1 6
Cartesian
0.000 0.000 0.000
0.000 0.000 3.469
0.000 0.000 12.717
0.000 0.000 9.222
-2.373 0.073 8.008
-1.031 -1.881 11.173
1.123 -2.092 8.008
-1.113 1.833 11.173
1.250 2.019 8.008
2.144 0.048 11.173
```

Output
The space group is R3 (146). As for the crystal system: trigonal. For the calculated volume, the calculation gives 23.50 Å³/atom. The uncorrected energy is -6.1168 eV/atom. The uncorrected formation energy comes out at -1.26 eV/atom.

---

(10)
First-principles (PBE) data for a relaxed structure of LiPaAg2S4, as listed in Alexandria via LeMat-Bulk.

The structure in POSCAR format:
```
LiPaAg2S4
1.0
6.298 0.000 0.000
0.000 4.103 0.000
-1.841 0.000 6.334
Li Pa Ag S
1 1 2 4
Cartesian
0.000 0.000 0.000
-0.920 2.052 3.167
2.229 0.000 3.167
3.149 2.052 0.000
0.062 0.000 4.638
1.066 2.052 1.518
3.392 2.052 4.816
4.395 0.000 1.697
```

Output
The space group is P2/m (10). As for the crystal system: monoclinic. For the calculated volume, the calculation gives 20.46 Å³/atom. The uncorrected energy is -5.1335 eV/atom. The uncorrected formation energy comes out at -0.93 eV/atom.

---

(11)
First-principles (PBE) data for a relaxed structure of LiPaAgSb, as listed in Alexandria via LeMat-Bulk.

The structure in POSCAR format:
```
LiPaAgSb
1.0
7.168 0.000 0.000
0.000 7.168 0.000
0.000 0.000 7.168
Li Pa Ag Sb
4 4 4 4
Cartesian
0.000 0.000 0.000
0.000 3.584 3.584
3.584 0.000 3.584
3.584 3.584 0.000
0.000 0.000 3.584
0.000 3.584 0.000
3.584 0.000 0.000
3.584 3.584 3.584
1.792 1.792 1.792
1.792 5.376 5.376
5.376 1.792 5.376
5.376 5.376 1.792
1.792 1.792 5.376
1.792 5.376 1.792
5.376 1.792 1.792
5.376 5.376 5.376
```

Output
The space group is F-43m (216). As for the crystal system: cubic. For the calculated volume, the calculation gives 23.02 Å³/atom. The uncorrected energy is -4.7344 eV/atom. The uncorrected formation energy comes out at -0.14 eV/atom.

---

(12)
First-principles (PBE) data for a relaxed structure of Li2PaAgSe4, as listed in Alexandria via LeMat-Bulk.

The structure in POSCAR format:
```
Li2PaAgSe4
1.0
6.634 0.000 0.000
0.000 4.154 0.000
-2.146 0.000 6.529
Li Pa Ag Se
2 1 1 4
Cartesian
0.000 0.000 0.000
3.317 2.077 0.000
-1.073 2.077 3.265
2.244 0.000 3.265
-0.018 0.000 4.908
1.068 2.077 1.594
4.506 0.000 1.621
3.420 2.077 4.935
```

Output
The space group is P2/m (10). As for the crystal system: monoclinic. For the calculated volume, the calculation gives 22.49 Å³/atom. The uncorrected energy is -4.8197 eV/atom. The uncorrected formation energy comes out at -1.06 eV/atom.